No. 1
# SrAcTlIr

Crystalline SrAcTlIr at its relaxed geometry (PBE-GGA, Alexandria).

Output
- space-group type = F-43m (216)
- D(E_F) (states/eV per atom) = 0.59
- formation enthalpy at 0 K (kJ/mol of formula units) = -80

abc: 5.4588 5.4588 5.4588
angles: 60.00 60.00 60.00
Closest atoms and distances in Å follow each position.
Positions (direct):
Tl 0.5000 0.5000 0.5000  4 Sr 3.34, 4 Ac 3.34
Sr 0.2500 0.2500 0.2500  4 Tl 3.34, 4 Ir 3.34
Ir 0.0000 0.0000 0.0000  4 Ac 3.34, 4 Sr 3.34
Ac 0.7500 0.7500 0.7500  4 Tl 3.34, 4 Ir 3.34

No. 2
# Ho3Zn3Ni8

Crystalline Ho3Zn3Ni8 at its relaxed geometry (PBE-GGA, Alexandria).

Output
- space-group type = Immm (71)
- D(E_F) (states/eV per atom) = 0.86
- formation enthalpy at 0 K (kJ/mol of formula units) = -452

abc: 4.0641 7.7336 7.7336
angles: 67.14 74.77 74.77
Closest atoms and distances in Å follow each position.
Positions (direct):
Ni 0.6183 0.1066 0.6568  3 Zn 2.41-2.49, 3 Ni 2.43-2.49
Ni 0.1844 0.4676 0.1637  4 Ni 2.43-2.60, 1 Zn 2.49
Ni 0.8156 0.8363 0.5324  4 Ni 2.43-2.60, 1 Zn 2.49
Ni 0.8156 0.5324 0.8363  4 Ni 2.43-2.60, 1 Zn 2.49
Ni 0.6183 0.6568 0.1066  3 Zn 2.41-2.49, 3 Ni 2.43-2.49
Ni 0.3817 0.3432 0.8934  3 Zn 2.41-2.49, 3 Ni 2.43-2.49
Ni 0.1844 0.1637 0.4676  4 Ni 2.43-2.60, 1 Zn 2.49
Ni 0.3817 0.8934 0.3432  3 Zn 2.41-2.49, 3 Ni 2.43-2.49
Ho 0.2018 0.7982 0.7982  10 Ni 2.79-2.98
Ho 0.7982 0.2018 0.2018  10 Ni 2.79-2.98
Ho 0.5000 0.5000 0.5000  4 Ni 2.76
Zn 0.0000 0.2244 0.7756  6 Ni 2.49
Zn 0.0000 0.7756 0.2244  6 Ni 2.49
Zn 0.5000 0.0000 0.0000  4 Ni 2.41

No. 3
# ThNp2PdSe4

Crystalline ThNp2PdSe4 at its relaxed geometry (PBE-GGA, Alexandria).

Output
- formation energy without anion corrections (eV/atom) = -1.03
- space-group type = I-42m (121)
- D(E_F) (states/eV per atom) = 1.61

abc: 6.9122 6.1461 6.1461
angles: 71.57 55.78 55.78
Closest atoms and distances in Å follow each position.
Positions (direct):
Pd 0.5000 0.0000 0.0000  4 Se 2.62
Np 0.5000 0.5000 0.5000  8 Se 2.94-3.26
Np 0.0000 0.5000 0.5000  8 Se 2.94-3.26
Se 0.4942 0.0000 0.4297  1 Pd 2.62
Se 0.9239 0.0000 0.5703  1 Pd 2.62
Se 0.0761 0.4297 0.0000  1 Pd 2.62
Se 0.5058 0.5703 0.0000  1 Pd 2.62
Th 0.0000 0.0000 0.0000  8 Se 2.97-3.24

No. 4
# NaAlAsCl2

Crystalline NaAlAsCl2 at its relaxed geometry (PBE-GGA, Alexandria).

Output
- formation energy without anion corrections (eV/atom) = -0.23
- space-group type = P4/mmm (123)
- D(E_F) (states/eV per atom) = 0.32
- excess energy over the best structure of this formula in the dataset (meV per atom) = 0

abc: 5.6426 4.8375 5.6426
angles: 90.00 90.00 90.00
Closest atoms and distances in Å follow each position.
Positions (direct):
Cl 0.5000 0.0000 0.0000  2 As 2.82
Cl 0.0000 0.0000 0.5000  2 As 2.82
Na 0.5000 0.5000 0.5000  8 Cl 3.72, 4 Al 3.99
As 0.0000 0.0000 0.0000  2 Al 2.42
Al 0.0000 0.5000 0.0000  2 As 2.42

No. 5
# ZrTiCuMo

Crystalline ZrTiCuMo at its relaxed geometry (PBE-GGA, Alexandria).

Output
- space-group type = F-43m (216)
- D(E_F) (states/eV per atom) = 0.51
- formation enthalpy at 0 K (kJ/mol of formula units) = -27

abc: 4.5570 4.5570 4.5570
angles: 60.00 60.00 60.00
Closest atoms and distances in Å follow each position.
Positions (direct):
Ti 0.2500 0.2500 0.2500  4 Cu 2.79, 4 Mo 2.79
Zr 0.7500 0.7500 0.7500  4 Mo 2.79, 4 Cu 2.79
Mo 0.0000 0.0000 0.0000  4 Ti 2.79, 4 Zr 2.79
Cu 0.5000 0.5000 0.5000  4 Zr 2.79, 4 Ti 2.79

No. 6
# Pm6P2IrS3

Crystalline Pm6P2IrS3 at its relaxed geometry (PBE-GGA, Alexandria).

Output
- formation energy without anion corrections (eV/atom) = -1.65
- space-group type = C2/m (12)
- D(E_F) (states/eV per atom) = 0.51

abc: 4.0768 8.2669 9.1738
angles: 103.04 102.84 90.00
Closest atoms and distances in Å follow each position.
Positions (direct):
S 0.8308 0.1675 0.6617  6 Pm 2.91-2.97
S 0.5000 0.5000 0.0000  6 Pm 2.93-2.94
S 0.1692 0.8325 0.3383  6 Pm 2.91-2.97
Pm 0.6689 0.5799 0.3378  3 P 2.86, 3 S 2.92-2.94
Pm 0.3362 0.9127 0.6725  1 Ir 2.85, 2 P 2.88, 3 S 2.91-2.95
Pm 0.0012 0.2457 0.0025  2 Ir 2.87, 1 P 2.88, 3 S 2.93-2.97
Pm 0.9988 0.7543 0.9975  2 Ir 2.87, 1 P 2.88, 3 S 2.93-2.97
Pm 0.3311 0.4201 0.6622  3 P 2.86, 3 S 2.92-2.94
Pm 0.6638 0.0873 0.3275  1 Ir 2.85, 2 P 2.88, 3 S 2.91-2.95
P 0.1668 0.3354 0.3337  6 Pm 2.86-2.88
P 0.8332 0.6646 0.6663  6 Pm 2.86-2.88
Ir 0.5000 0.0000 0.0000  6 Pm 2.85-2.87

No. 7
# TbCeCdIr

Crystalline TbCeCdIr at its relaxed geometry (PBE-GGA, Alexandria).

Output
- space-group type = F-43m (216)
- D(E_F) (states/eV per atom) = 1.69
- formation enthalpy at 0 K (kJ/mol of formula units) = -160

abc: 5.1083 5.1083 5.1083
angles: 60.00 60.00 60.00
Closest atoms and distances in Å follow each position.
Positions (direct):
Cd 0.7500 0.7500 0.7500  4 Ce 3.13, 4 Tb 3.13
Ce 0.0000 0.0000 0.0000  4 Cd 3.13, 4 Ir 3.13
Tb 0.5000 0.5000 0.5000  4 Cd 3.13, 4 Ir 3.13
Ir 0.2500 0.2500 0.2500  4 Tb 3.13, 4 Ce 3.13

No. 8
# K4PaTi3O12

Crystalline K4PaTi3O12 at its relaxed geometry (PBE-GGA, Alexandria).

Output
- formation energy without anion corrections (eV/atom) = -2.43
- space-group type = Im-3m (229)
- D(E_F) (states/eV per atom) = 0.44

abc: 7.0664 7.0664 7.0664
angles: 109.47 109.47 109.47
Closest atoms and distances in Å follow each position.
Positions (direct):
K 0.0000 0.5000 0.0000  12 O 2.88-2.89
K 0.5000 0.5000 0.5000  12 O 2.88-2.89
K 0.0000 0.0000 0.5000  12 O 2.88-2.89
K 0.5000 0.0000 0.0000  12 O 2.88-2.89
O 0.7361 0.0000 0.7361  1 Ti 1.93, 1 Pa 2.15
O 0.2639 0.0000 0.2639  1 Ti 1.93, 1 Pa 2.15
O 0.2500 0.7500 0.5000  2 Ti 2.04
O 0.2500 0.5000 0.7500  2 Ti 2.04
O 0.2639 0.2639 0.0000  1 Ti 1.93, 1 Pa 2.15
O 0.0000 0.7361 0.7361  1 Ti 1.93, 1 Pa 2.15
O 0.5000 0.7500 0.2500  2 Ti 2.04
O 0.7500 0.2500 0.5000  2 Ti 2.04
O 0.0000 0.2639 0.2639  1 Ti 1.93, 1 Pa 2.15
O 0.7361 0.7361 0.0000  1 Ti 1.93, 1 Pa 2.15
O 0.5000 0.2500 0.7500  2 Ti 2.04
O 0.7500 0.5000 0.2500  2 Ti 2.04
Ti 0.5000 0.5000 0.0000  6 O 1.93-2.04
Ti 0.5000 0.0000 0.5000  6 O 1.93-2.04
Ti 0.0000 0.5000 0.5000  6 O 1.93-2.04
Pa 0.0000 0.0000 0.0000  6 O 2.15

No. 9
# TbNdSc3

Crystalline TbNdSc3 at its relaxed geometry (PBE-GGA, Alexandria).

Output
- space-group type = C2/c (15)
- D(E_F) (states/eV per atom) = 1.53
- excess energy over the best structure of this formula in the dataset (meV per atom) = 0
- formation enthalpy at 0 K (kJ/mol of formula units) = 62

abc: 8.8252 8.8923 8.8923
angles: 124.72 90.02 90.02
Closest atoms and distances in Å follow each position.
Positions (direct):
Tb 0.7500 0.4366 0.5634  4 Nd 3.30-3.52, 8 Sc 3.33-3.61
Tb 0.2500 0.0281 0.9719  4 Sc 3.30-3.63, 2 Nd 3.47
Tb 0.2500 0.5634 0.4366  4 Nd 3.30-3.52, 8 Sc 3.33-3.61
Tb 0.7500 0.9719 0.0281  4 Sc 3.30-3.63, 2 Nd 3.47
Sc 0.9369 0.4007 0.1830  4 Sc 3.15-3.29, 1 Tb 3.33, 2 Nd 3.35-3.39
Sc 0.2434 0.3990 0.9715  7 Sc 3.06-3.31, 1 Tb 3.30
Sc 0.4261 0.7619 0.2353  7 Sc 3.11-3.31, 2 Nd 3.21-3.40
Sc 0.7434 0.9715 0.3990  7 Sc 3.06-3.31, 1 Tb 3.30
Sc 0.0631 0.5993 0.8170  4 Sc 3.15-3.29, 1 Tb 3.33, 2 Nd 3.35-3.39
Sc 0.7566 0.6010 0.0285  7 Sc 3.06-3.31, 1 Tb 3.30
Sc 0.9261 0.2353 0.7619  7 Sc 3.11-3.31, 2 Nd 3.21-3.40
Sc 0.0739 0.7647 0.2381  7 Sc 3.11-3.31, 2 Nd 3.21-3.40
Sc 0.5739 0.2381 0.7647  7 Sc 3.11-3.31, 2 Nd 3.21-3.40
Sc 0.5631 0.8170 0.5993  4 Sc 3.15-3.29, 1 Tb 3.33, 2 Nd 3.35-3.39
Sc 0.2566 0.0285 0.6010  7 Sc 3.06-3.31, 1 Tb 3.30
Sc 0.4369 0.1830 0.4007  4 Sc 3.15-3.29, 1 Tb 3.33, 2 Nd 3.35-3.39
Nd 0.0577 0.1856 0.3767  7 Sc 3.21-3.53, 3 Tb 3.30-3.52
Nd 0.4423 0.6233 0.8144  7 Sc 3.21-3.53, 3 Tb 3.30-3.52
Nd 0.9423 0.8144 0.6233  7 Sc 3.21-3.53, 3 Tb 3.30-3.52
Nd 0.5577 0.3767 0.1856  7 Sc 3.21-3.53, 3 Tb 3.30-3.52

No. 10
# CrWSe3

Crystalline CrWSe3 at its relaxed geometry (PBE-GGA, Alexandria).

Output
- formation energy without anion corrections (eV/atom) = 0.95
- space-group type = Pm-3m (221)
- D(E_F) (states/eV per atom) = 0.73
- excess energy over the best structure of this formula in the dataset (meV per atom) = 1221

abc: 4.7750 4.7750 4.7750
angles: 90.00 90.00 90.00
Closest atoms and distances in Å follow each position.
Positions (direct):
Se 0.5000 0.0000 0.0000  2 Cr 2.39
Se 0.0000 0.5000 0.0000  2 Cr 2.39
Se 0.0000 0.0000 0.5000  2 Cr 2.39
W 0.5000 0.5000 0.5000  12 Se 3.38
Cr 0.0000 0.0000 0.0000  6 Se 2.39

Copy entry 8 word for word.
# K4PaTi3O12

Crystalline K4PaTi3O12 at its relaxed geometry (PBE-GGA, Alexandria).

Output
- formation energy without anion corrections (eV/atom) = -2.43
- space-group type = Im-3m (229)
- D(E_F) (states/eV per atom) = 0.44

abc: 7.0664 7.0664 7.0664
angles: 109.47 109.47 109.47
Closest atoms and distances in Å follow each position.
Positions (direct):
K 0.0000 0.5000 0.0000  12 O 2.88-2.89
K 0.5000 0.5000 0.5000  12 O 2.88-2.89
K 0.0000 0.0000 0.5000  12 O 2.88-2.89
K 0.5000 0.0000 0.0000  12 O 2.88-2.89
O 0.7361 0.0000 0.7361  1 Ti 1.93, 1 Pa 2.15
O 0.2639 0.0000 0.2639  1 Ti 1.93, 1 Pa 2.15
O 0.2500 0.7500 0.5000  2 Ti 2.04
O 0.2500 0.5000 0.7500  2 Ti 2.04
O 0.2639 0.2639 0.0000  1 Ti 1.93, 1 Pa 2.15
O 0.0000 0.7361 0.7361  1 Ti 1.93, 1 Pa 2.15
O 0.5000 0.7500 0.2500  2 Ti 2.04
O 0.7500 0.2500 0.5000  2 Ti 2.04
O 0.0000 0.2639 0.2639  1 Ti 1.93, 1 Pa 2.15
O 0.7361 0.7361 0.0000  1 Ti 1.93, 1 Pa 2.15
O 0.5000 0.2500 0.7500  2 Ti 2.04
O 0.7500 0.5000 0.2500  2 Ti 2.04
Ti 0.5000 0.5000 0.0000  6 O 1.93-2.04
Ti 0.5000 0.0000 0.5000  6 O 1.93-2.04
Ti 0.0000 0.5000 0.5000  6 O 1.93-2.04
Pa 0.0000 0.0000 0.0000  6 O 2.15

D(E_F) of number 9 (TbNdSc3)? 1.53 states/eV per atom